(1)
Hf6Ni16Ge7: relaxed, GGA-PBEsol.

The uncorrected energy comes out at -7.4155 eV per atom. The formation enthalpy at 0 K comes out at -0.65 eV per atom. The space-group type is Fm-3m (225). Its calculated volume is 375.3 Å³/cell.

Geometry as CIF:
```
data_Hf6Ni16Ge7
_chemical_formula_sum 'Hf6 Ni16 Ge7'
_space_group_name_H-M_alt 'P 1'
_space_group_IT_number 1
_cell_length_a 8.0968
_cell_length_b 8.0968
_cell_length_c 8.0968
_cell_angle_alpha 60.00
_cell_angle_beta 60.00
_cell_angle_gamma 60.00
loop_
_space_group_symop_operation_xyz
'x,y,z'
loop_
_atom_site_label
_atom_site_type_symbol
_atom_site_fract_x
_atom_site_fract_y
_atom_site_fract_z
_atom_site_occupancy
Ge1 Ge 0.0000 0.5000 0.5000 1
Ge2 Ge 0.5000 0.5000 0.5000 1
Ge3 Ge 0.5000 0.5000 0.0000 1
Ge4 Ge 0.5000 0.0000 0.0000 1
Ge5 Ge 0.5000 0.0000 0.5000 1
Ge6 Ge 0.0000 0.5000 0.0000 1
Ge7 Ge 0.0000 0.0000 0.5000 1
Ni1 Ni 0.3816 0.3816 0.8551 1
Ni2 Ni 0.8551 0.3816 0.3816 1
Ni3 Ni 0.6184 0.1449 0.6184 1
Ni4 Ni 0.6184 0.6184 0.1449 1
Ni5 Ni 0.5042 0.8319 0.8319 1
Ni6 Ni 0.1681 0.4958 0.1681 1
Ni7 Ni 0.3816 0.3816 0.3816 1
Ni8 Ni 0.1449 0.6184 0.6184 1
Ni9 Ni 0.1681 0.1681 0.1681 1
Ni10 Ni 0.3816 0.8551 0.3816 1
Ni11 Ni 0.8319 0.8319 0.8319 1
Ni12 Ni 0.8319 0.8319 0.5042 1
Ni13 Ni 0.1681 0.1681 0.4958 1
Ni14 Ni 0.4958 0.1681 0.1681 1
Ni15 Ni 0.8319 0.5042 0.8319 1
Ni16 Ni 0.6184 0.6184 0.6184 1
Hf1 Hf 0.7952 0.2048 0.7952 1
Hf2 Hf 0.7952 0.2048 0.2048 1
Hf3 Hf 0.2048 0.2048 0.7952 1
Hf4 Hf 0.2048 0.7952 0.2048 1
Hf5 Hf 0.7952 0.7952 0.2048 1
Hf6 Hf 0.2048 0.7952 0.7952 1
```

***

(2)
Hf2NiGePd: relaxed, GGA-PBEsol.

The uncorrected energy comes out at -7.2526 eV per atom. The formation enthalpy at 0 K comes out at 0.36 eV per atom. The space-group type is P4/mmm (123). Its calculated volume is 98.7 Å³/cell.

Geometry as CIF:
```
data_Hf2NiGePd
_chemical_formula_sum 'Hf2 Ni1 Ge1 Pd1'
_space_group_name_H-M_alt 'P 1'
_space_group_IT_number 1
_cell_length_a 4.1356
_cell_length_b 4.8849
_cell_length_c 4.8849
_cell_angle_alpha 90.00
_cell_angle_beta 90.00
_cell_angle_gamma 90.00
loop_
_space_group_symop_operation_xyz
'x,y,z'
loop_
_atom_site_label
_atom_site_type_symbol
_atom_site_fract_x
_atom_site_fract_y
_atom_site_fract_z
_atom_site_occupancy
Pd1 Pd 0.5000 0.5000 0.5000 1
Hf1 Hf 0.0000 0.0000 0.5000 1
Hf2 Hf 0.0000 0.5000 0.0000 1
Ge1 Ge 0.0000 0.0000 0.0000 1
Ni1 Ni 0.5000 0.0000 0.0000 1
```

***

(3)
Hf2NiGeW: relaxed, GGA-PBEsol.

The uncorrected energy comes out at -8.0456 eV per atom. The formation enthalpy at 0 K comes out at 1.14 eV per atom. The space-group type is P4/mmm (123). Its calculated volume is 105.0 Å³/cell.

Geometry as CIF:
```
data_Hf2NiGeW
_chemical_formula_sum 'Hf2 Ni1 Ge1 W1'
_space_group_name_H-M_alt 'P 1'
_space_group_IT_number 1
_cell_length_a 4.5228
_cell_length_b 4.8193
_cell_length_c 4.8193
_cell_angle_alpha 90.00
_cell_angle_beta 90.00
_cell_angle_gamma 90.00
loop_
_space_group_symop_operation_xyz
'x,y,z'
loop_
_atom_site_label
_atom_site_type_symbol
_atom_site_fract_x
_atom_site_fract_y
_atom_site_fract_z
_atom_site_occupancy
Ge1 Ge 0.0000 0.0000 0.0000 1
Hf1 Hf 0.0000 0.0000 0.5000 1
Hf2 Hf 0.0000 0.5000 0.0000 1
Ni1 Ni 0.5000 0.5000 0.5000 1
W1 W 0.5000 0.0000 0.0000 1
```

***

(4)
Hf3GeO8: relaxed, GGA-PBEsol.

The uncorrected energy comes out at -9.6682 eV per atom. The space-group type is I-42m (121). For the formation energy without anion corrections, the calculation gives -37.6 eV per formula unit. Its calculated volume is 127.2 Å³/cell.

Geometry as CIF:
```
data_Hf3GeO8
_chemical_formula_sum 'Hf3 Ge1 O8'
_space_group_name_H-M_alt 'P 1'
_space_group_IT_number 1
_cell_length_a 4.9594
_cell_length_b 4.9594
_cell_length_c 6.2494
_cell_angle_alpha 113.38
_cell_angle_beta 113.38
_cell_angle_gamma 90.00
loop_
_space_group_symop_operation_xyz
'x,y,z'
loop_
_atom_site_label
_atom_site_type_symbol
_atom_site_fract_x
_atom_site_fract_y
_atom_site_fract_z
_atom_site_occupancy
Hf1 Hf 0.0000 0.0000 0.0000 1
Hf2 Hf 0.7500 0.2500 0.5000 1
Hf3 Hf 0.2500 0.7500 0.5000 1
O1 O 0.9606 0.9606 0.3170 1
O2 O 0.0394 0.6436 0.6830 1
O3 O 0.3564 0.3564 0.3170 1
O4 O 0.6255 0.6255 0.8186 1
O5 O 0.8070 0.3745 0.1814 1
O6 O 0.1930 0.1930 0.8186 1
O7 O 0.3745 0.8070 0.1814 1
O8 O 0.6436 0.0394 0.6830 1
Ge1 Ge 0.5000 0.5000 0.0000 1
```